Below is crystalline Ac8SiRh3I3 at its relaxed geometry, with properties calculated at the PBE level.

The structure in POSCAR format:
```
Ac8SiRh3I3
1.0
-4.164 -7.523 -2.415
8.399 1.506 -2.658
-1.373 -2.268 9.430
Ac I Si Rh
8 3 1 3
Cartesian
-1.218 -2.767 2.106
-0.112 -6.374 3.534
2.974 -1.910 0.823
0.810 -5.645 -0.325
4.081 -5.518 2.251
-3.211 -6.366 0.950
2.053 -2.639 4.682
6.073 -1.918 3.407
0.000 0.000 0.000
4.200 0.753 -1.329
2.118 -3.008 -2.536
-0.686 -1.134 4.715
-2.768 -4.896 3.507
3.513 -0.381 3.386
1.431 -4.142 2.179
```

Values from the calculation:
Raw total energy in eV/atom: -5.158
N(E_F) in states/eV per cell: 11.96

Below is crystalline ErPuNbN3 at its relaxed geometry, with properties calculated at the PBE level.

The structure in POSCAR format:
```
ErPuNbN3
1.0
3.330 0.000 0.000
0.000 6.979 0.889
0.000 -0.911 7.998
N Er Nb Pu
6 2 2 2
Cartesian
2.497 0.764 3.509
2.497 2.462 1.295
0.832 3.606 7.592
0.832 5.305 5.378
2.497 5.832 2.048
0.832 0.236 6.839
0.832 4.122 1.757
2.497 1.946 7.130
0.832 0.461 4.676
2.497 5.607 4.210
0.832 0.793 1.409
2.497 5.275 7.478
```

Values from the calculation:
Raw total energy in eV/atom: -10.002
N(E_F) in states/eV per cell: 19.38